Entry 1:
This record from the Alexandria database describes a relaxed structure of Sc2Zn2Cu. The functional is PBE.

Results
DFT formation energy   -1.102 eV per formula unit
Offset from the most stable computed form   47 meV/atom
Space-group type   P4/mbm, No. 127

abc: 6.620 6.620 4.134
angles: 90.00 90.00 90.00
Sites, in units of the cell vectors:
Sc 0.171 0.329 0.000
Sc 0.329 0.829 0.000
Sc 0.671 0.171 0.000
Sc 0.829 0.671 0.000
Zn 0.133 0.633 0.500
Zn 0.367 0.133 0.500
Zn 0.633 0.867 0.500
Zn 0.867 0.367 0.500
Cu 0.000 0.000 0.500
Cu 0.500 0.500 0.500



Entry 2:
This record from the Alexandria database describes a relaxed structure of Y2AlTc3. The functional is PBE.

Results
DFT formation energy   -1.963 eV per formula unit
Space-group type   R-3m, No. 166

abc: 5.474 5.474 5.474
angles: 58.50 58.50 58.50
Sites, in units of the cell vectors:
Y 0.122 0.122 0.122
Y 0.878 0.878 0.878
Al 0.500 0.500 0.500
Tc 0.000 0.500 0.500
Tc 0.500 0.000 0.500
Tc 0.500 0.500 0.000



Entry 3:
This record from the Alexandria database describes a relaxed structure of Cs2CeCl4F2. The functional is PBE.

Results
Formation energy without anion corrections   -2514.1 meV per atom
Space-group type   C2/m, No. 12

abc: 7.305 7.305 6.008
angles: 98.57 98.57 64.66
Sites, in units of the cell vectors:
Cs 0.169 0.169 0.325
Cs 0.831 0.831 0.675
Ce 0.500 0.500 0.000
Cl 0.154 0.651 0.200
Cl 0.349 0.846 0.800
Cl 0.651 0.154 0.200
Cl 0.846 0.349 0.800
F 0.364 0.364 0.732
F 0.636 0.636 0.268



Entry 4:
This record from the Alexandria database describes a relaxed structure of Hf6CoOs. The functional is PBE.

Results
DFT formation energy   -0.666 eV per formula unit
Space-group type   C2/m, No. 12

abc: 6.377 8.795 5.798
angles: 90.00 107.04 90.00
Sites, in units of the cell vectors:
Hf 0.089 0.244 0.271
Hf 0.089 0.756 0.271
Hf 0.244 0.500 0.004
Hf 0.256 0.000 0.996
Hf 0.411 0.256 0.729
Hf 0.411 0.744 0.729
Hf 0.589 0.256 0.271
Hf 0.589 0.744 0.271
Hf 0.744 0.000 0.004
Hf 0.756 0.500 0.996
Hf 0.911 0.244 0.729
Hf 0.911 0.756 0.729
Co 0.000 0.000 0.500
Co 0.500 0.500 0.500
Os 0.000 0.500 0.500
Os 0.500 0.000 0.500



Entry 5:
This record from the Alexandria database describes a relaxed structure of CaTcSb2. The functional is PBE.

Results
Offset from the most stable computed form   207 meV/atom
Formation energy without anion corrections   -33.6 meV per atom
Space-group type   P4mm, No. 99

abc: 3.595 3.595 7.226
angles: 90.00 90.00 90.00
Sites, in units of the cell vectors:
Ca 0.000 0.000 0.000
Tc 0.500 0.500 0.692
Sb 0.000 0.000 0.557
Sb 0.500 0.500 0.285



Entry 6:
This record from the Alexandria database describes a relaxed structure of PrErTh. The functional is PBE.

Results
DFT formation energy   1.168 eV per formula unit
Offset from the most stable computed form   361 meV/atom
Space-group type   P4/nmm, No. 129

abc: 4.912 4.912 8.601
angles: 90.00 90.00 90.00
Sites, in units of the cell vectors:
Pr 0.250 0.750 0.000
Pr 0.750 0.250 0.000
Er 0.250 0.250 0.295
Er 0.750 0.750 0.705
Th 0.250 0.250 0.684
Th 0.750 0.750 0.316



Entry 7:
This record from the Alexandria database describes a relaxed structure of Zr2NiSb. The functional is PBE.

Results
Formation energy without anion corrections   -314.4 meV per atom
Space-group type   Cmmm, No. 65

abc: 4.131 4.817 7.925
angles: 90.00 90.00 90.00
Sites, in units of the cell vectors:
Zr 0.000 0.000 0.216
Zr 0.000 0.000 0.784
Zr 0.500 0.500 0.216
Zr 0.500 0.500 0.784
Ni 0.000 0.500 0.000
Ni 0.500 0.000 0.000
Sb 0.000 0.500 0.500
Sb 0.500 0.000 0.500



Entry 8:
This record from the Alexandria database describes a relaxed structure of ZrTe2IrI. The functional is PBE.

Results
Offset from the most stable computed form   0 meV/atom
Formation energy without anion corrections   545.5 meV per atom
Space-group type   P4/mmm, No. 123

abc: 5.234 5.234 5.229
angles: 90.00 90.00 90.00
Sites, in units of the cell vectors:
Zr 0.000 0.000 0.000
Te 0.000 0.500 0.500
Te 0.500 0.000 0.500
Ir 0.500 0.500 0.500
I 0.500 0.500 0.000



Entry 9:
This record from the Alexandria database describes a relaxed structure of SiSb2RuI. The functional is PBE.

Results
Offset from the most stable computed form   0 meV/atom
Formation energy without anion corrections   783.1 meV per atom
Space-group type   P4/mmm, No. 123

abc: 5.027 5.027 5.652
angles: 90.00 90.00 90.00
Sites, in units of the cell vectors:
Si 0.000 0.000 0.000
Sb 0.000 0.500 0.500
Sb 0.500 0.000 0.500
Ru 0.500 0.500 0.500
I 0.500 0.500 0.000



Entry 10:
This record from the Alexandria database describes a relaxed structure of BaGeBr. The functional is PBE.

Results
Offset from the most stable computed form   117 meV/atom
Formation energy without anion corrections   -1138.5 meV per atom
Space-group type   C2/m, No. 12

abc: 19.950 4.764 4.458
angles: 90.00 102.82 90.00
Sites, in units of the cell vectors:
Ba 0.129 0.000 0.129
Ba 0.371 0.500 0.871
Ba 0.629 0.500 0.129
Ba 0.871 0.000 0.871
Ge 0.000 0.248 0.500
Ge 0.000 0.752 0.500
Ge 0.500 0.252 0.500
Ge 0.500 0.748 0.500
Br 0.193 0.500 0.693
Br 0.307 0.000 0.307
Br 0.693 0.000 0.693
Br 0.807 0.500 0.307



Entry 11:
This record from the Alexandria database describes a relaxed structure of Ac2InHg. The functional is PBE.

Results
DFT formation energy   -2.063 eV per formula unit
Space-group type   P2/m, No. 10

abc: 5.796 4.043 11.586
angles: 90.00 90.03 90.00
Sites, in units of the cell vectors:
Ac 0.248 0.000 0.378
Ac 0.250 0.000 0.879
Ac 0.750 0.000 0.121
Ac 0.752 0.000 0.622
In 0.252 0.500 0.630
In 0.748 0.500 0.370
Hg 0.251 0.500 0.131
Hg 0.749 0.500 0.869



Entry 12:
This record from the Alexandria database describes a relaxed structure of Sm4Er8Tm. The functional is PBE.

Results
DFT formation energy   6.706 eV per formula unit
Space-group type   R-3m, No. 166

abc: 7.725 7.725 7.725
angles: 89.90 89.90 89.90
Sites, in units of the cell vectors:
Sm 0.000 0.000 0.000
Sm 0.000 0.500 0.500
Sm 0.500 0.000 0.500
Sm 0.500 0.500 0.000
Er 0.240 0.759 0.759
Er 0.241 0.241 0.241
Er 0.241 0.241 0.760
Er 0.241 0.760 0.241
Er 0.759 0.240 0.759
Er 0.759 0.759 0.240
Er 0.759 0.759 0.759
Er 0.760 0.241 0.241
Tm 0.500 0.500 0.500



no.,electronic total energy (eV per atom)
1,-4.08
2,-8.29
3,-4.60
4,-9.84
5,-5.19
6,-5.20
7,-7.06
8,-4.50
9,-4.12
10,-3.88
11,-3.33
12,-4.09